[1]
DFT (PBE) results for a geometry-optimized Zr2TaZn structure.

Computed properties:
E_form	0.03	eV/atom
symmetry	P4mm, No. 99
calculated density	9069	kg/m³
calculated total energy	-7.53	eV/atom

a = 2.943 Å, b = 2.943 Å, c = 9.063 Å
α = 90.00°, β = 90.00°, γ = 90.09°
Element x y z (fractional)
Ta: 0.000 0.000 0.526
Zn: 0.500 0.500 0.739
Zr: 0.000 0.000 0.967
Zr: 0.500 0.500 0.268

***

[2]
DFT (PBE) results for a geometry-optimized ZrTa2Zn2 structure.

Computed properties:
E_form	0.09	eV/atom
symmetry	P4/mbm, No. 127
calculated density	10980	kg/m³
calculated total energy	-6.87	eV/atom

a = 7.386 Å, b = 7.386 Å, c = 3.238 Å
α = 90.00°, β = 90.00°, γ = 90.00°
Element x y z (fractional)
Zn: 0.381 0.881 0.000
Zn: 0.881 0.619 0.000
Zn: 0.619 0.119 0.000
Zn: 0.119 0.381 0.000
Zr: 0.000 0.000 0.000
Zr: 0.500 0.500 0.000
Ta: 0.179 0.679 0.500
Ta: 0.679 0.821 0.500
Ta: 0.821 0.321 0.500
Ta: 0.321 0.179 0.500

***

[3]
DFT (PBE) results for a geometry-optimized Zr3TaZn structure.

Computed properties:
E_form	0.92	eV/atom
symmetry	Pm-3m, No. 221
calculated density	7281	kg/m³
calculated total energy	-6.83	eV/atom

a = 4.913 Å, b = 4.913 Å, c = 4.913 Å
α = 90.00°, β = 90.00°, γ = 90.00°
Element x y z (fractional)
Zn: 0.000 0.000 0.000
Zr: 0.000 0.500 0.000
Zr: 0.000 0.000 0.500
Zr: 0.500 0.000 0.000
Ta: 0.500 0.500 0.500

***

[4]
DFT (PBE) results for a geometry-optimized ZrTa2Zn structure.

Computed properties:
E_form	-0.02	eV/atom
symmetry	P4mm, No. 99
calculated density	11629	kg/m³
calculated total energy	-8.41	eV/atom

a = 3.406 Å, b = 3.406 Å, c = 6.381 Å
α = 90.00°, β = 90.00°, γ = 90.00°
Element x y z (fractional)
Ta: 0.000 0.000 0.020
Ta: 0.500 0.500 0.250
Zn: 0.000 0.000 0.484
Zr: 0.500 0.500 0.747

***

[5]
DFT (PBE) results for a geometry-optimized ZrTa2Zn structure.

Computed properties:
E_form	0.07	eV/atom
symmetry	C2/m, No. 12
calculated density	11592	kg/m³
calculated total energy	-8.32	eV/atom

a = 5.265 Å, b = 5.265 Å, c = 5.052 Å
α = 76.85°, β = 76.85°, γ = 33.09°
Element x y z (fractional)
Ta: 0.014 0.014 0.983
Ta: 0.486 0.486 0.517
Zn: 0.750 0.750 0.750
Zr: 0.250 0.250 0.250

***

[6]
DFT (PBE) results for a geometry-optimized ZrTa2Zn structure.

Computed properties:
E_form	0.04	eV/atom
symmetry	Pmmm, No. 47
calculated density	11735	kg/m³
calculated total energy	-8.34	eV/atom

a = 3.758 Å, b = 4.335 Å, c = 4.503 Å
α = 90.00°, β = 90.00°, γ = 90.00°
Element x y z (fractional)
Ta: 0.000 0.000 0.000
Ta: 0.500 0.500 0.000
Zn: 0.500 0.000 0.500
Zr: 0.000 0.500 0.500